Computed, not measured: an optimized crystal structure of Ho3IrRh at the PBE level of DFT.

Cell: 6.822 6.811 7.448 Å, 62.85 62.80 60.19°
Fractional positions:
1 Ir 0.329 0.328 0.015
2 Ir 0.671 0.672 0.985
3 Ho 0.251 0.597 0.248
4 Ho 0.749 0.403 0.752
5 Ho 0.904 0.252 0.247
6 Ho 0.096 0.748 0.753
7 Ho 0.404 0.095 0.752
8 Ho 0.596 0.905 0.248
9 Rh 0.171 0.171 0.485
10 Rh 0.829 0.829 0.515

For the magnetization, the calculation gives 0.00 μB/cell. The energy above the most stable polymorph in this dataset is 37 meV/atom. As for the space-group type: No. 2. As for the crystal system: triclinic. The value obtained for the formation energy is -704 meV per atom. The density of states at the Fermi level comes out at 5.54 states/eV/cell.


Computed, not measured: an optimized crystal structure of HoIrRh2 at the PBE level of DFT.

Cell: 4.576 4.576 4.576 Å, 60.00 60.00 60.00°
Each line ends with the local moment (μB).
Fractional positions:
1 Ho 0.500 0.500 0.500  -0.03
2 Rh 0.250 0.250 0.249  0.52
3 Rh 0.750 0.750 0.751  0.52
4 Ir 0.000 0.000 0.000  0.71

For the magnetization, the calculation gives 1.74 μB/cell. The energy above the most stable polymorph in this dataset is 276 meV/atom. As for the space-group type: No. 225. As for the crystal system: cubic. The value obtained for the formation energy is -224 meV per atom. The density of states at the Fermi level comes out at 7.65 states/eV/cell.


Computed, not measured: an optimized crystal structure of Ho4Ir2Rh at the PBE level of DFT.

Cell: 4.790 4.790 8.329 Å, 73.29 73.29 60.00°
Fractional positions:
1 Rh 0.000 0.000 0.000
2 Ir 0.250 0.250 0.250
3 Ir 0.750 0.750 0.750
4 Ho 0.874 0.874 0.377
5 Ho 0.624 0.624 0.129
6 Ho 0.126 0.126 0.623
7 Ho 0.376 0.376 0.871

For the magnetization, the calculation gives 0.00 μB/cell. As for the space-group type: No. 166. As for the crystal system: trigonal. The value obtained for the formation energy is -869 meV per atom. The density of states at the Fermi level comes out at 2.87 states/eV/cell.


Q: Which value of magnetization does entry 2 give?
A: 1.74 μB/cell